(1)
A plane-wave DFT calculation with PBE was carried out for crystalline Sr2HfAl at its relaxed geometry.

Values from the calculation:
- electronic total energy (eV per atom) = -3.794
- total moment (μB per cell) = 0.01
- symmetry = No. 216

Structure (extended XYZ):
```
4
Lattice="0.000 3.881 3.881 3.881 0.000 3.881 3.881 3.881 0.000" Properties=species:S:1:pos:R:3 pbc="T T T"
Sr 0.000 0.000 0.000
Sr 1.940 1.940 1.940
Hf 5.821 5.821 5.821
Al 3.881 3.881 3.881
```

=====

(2)
A plane-wave DFT calculation with PBE was carried out for crystalline SrHfAl2 at its relaxed geometry.

Values from the calculation:
- electronic total energy (eV per atom) = -4.287
- total moment (μB per cell) = 0.78
- symmetry = No. 216

Structure (extended XYZ):
```
4
Lattice="0.000 3.587 3.587 3.587 0.000 3.587 3.587 3.587 0.000" Properties=species:S:1:pos:R:3 pbc="T T T"
Sr 0.000 0.000 0.000
Hf 1.794 1.794 1.794
Al 3.587 3.587 3.587
Al 5.381 5.381 5.381
```

=====

(3)
A plane-wave DFT calculation with PBE was carried out for crystalline Hf2TaAl at its relaxed geometry.

Values from the calculation:
- electronic total energy (eV per atom) = -8.839
- total moment (μB per cell) = 0.07
- symmetry = No. 216

Structure (extended XYZ):
```
4
Lattice="0.000 3.375 3.375 3.375 0.000 3.375 3.375 3.375 0.000" Properties=species:S:1:pos:R:3 pbc="T T T"
Hf 0.000 0.000 0.000
Hf 1.688 1.688 1.688
Ta 5.063 5.063 5.063
Al 3.375 3.375 3.375
```

=====

(4)
A plane-wave DFT calculation with PBE was carried out for crystalline HfTa2Al at its relaxed geometry.

Values from the calculation:
- electronic total energy (eV per atom) = -9.415
- total moment (μB per cell) = 0.00
- symmetry = No. 216

Structure (extended XYZ):
```
4
Lattice="0.000 3.330 3.330 3.330 0.000 3.330 3.330 3.330 0.000" Properties=species:S:1:pos:R:3 pbc="T T T"
Hf 0.000 0.000 0.000
Ta 1.665 1.665 1.665
Ta 3.330 3.330 3.330
Al 4.995 4.995 4.995
```

=====

(5)
A plane-wave DFT calculation with PBE was carried out for crystalline HfTaAl2 at its relaxed geometry.

Values from the calculation:
- electronic total energy (eV per atom) = -7.228
- total moment (μB per cell) = 0.64
- symmetry = No. 216

Structure (extended XYZ):
```
4
Lattice="0.000 3.286 3.286 3.286 0.000 3.286 3.286 3.286 0.000" Properties=species:S:1:pos:R:3 pbc="T T T"
Hf 0.000 0.000 0.000
Ta 4.928 4.928 4.928
Al 1.643 1.643 1.643
Al 3.286 3.286 3.286
```

=====

(6)
A plane-wave DFT calculation with PBE was carried out for crystalline HfTaAl at its relaxed geometry.

Values from the calculation:
- ΔE to the lowest computed polymorph (meV per atom) = 0
- total moment (μB per cell) = 0.00
- symmetry = No. 216

Structure (extended XYZ):
```
3
Lattice="0.000 3.160 3.160 3.160 0.000 3.160 3.160 3.160 0.000" Properties=species:S:1:pos:R:3 pbc="T T T"
Hf 0.000 0.000 0.000
Ta 3.160 3.160 3.160
Al 1.580 1.580 1.580
```

=====

(7)
A plane-wave DFT calculation with PBE was carried out for crystalline Tb4HfAl15 at its relaxed geometry.

Values from the calculation:
- electronic total energy (eV per atom) = -4.633
- total moment (μB per cell) = 0.01
- symmetry = No. 166

Structure (extended XYZ):
```
20
Lattice="3.020 1.744 12.003 -3.020 1.744 12.003 0.000 -3.488 12.003" Properties=species:S:1:pos:R:3 pbc="T T T"
Tb 0.000 0.000 3.612
Tb 0.000 0.000 13.280
Tb 0.000 0.000 22.728
Tb 0.000 0.000 32.396
Hf 0.000 0.000 18.004
Al -3.020 0.000 18.004
Al -1.510 0.872 6.001
Al -1.632 -0.942 15.689
Al 0.000 -1.725 10.805
Al -1.494 0.862 10.805
Al -1.494 -0.862 25.203
Al 0.000 -1.884 20.319
Al -1.632 0.942 20.319
Al 1.510 0.872 6.001
Al 1.632 -0.942 15.689
Al 0.000 1.884 15.689
Al 1.494 0.862 10.805
Al 1.494 -0.862 25.203
Al 0.000 1.725 25.203
Al 1.632 0.942 20.319
```

=====

(8)
A plane-wave DFT calculation with PBE was carried out for crystalline HfAl2Tc at its relaxed geometry.

Values from the calculation:
- electronic total energy (eV per atom) = -7.264
- total moment (μB per cell) = 0.00
- symmetry = No. 216

Structure (extended XYZ):
```
4
Lattice="0.000 3.187 3.187 3.187 0.000 3.187 3.187 3.187 0.000" Properties=species:S:1:pos:R:3 pbc="T T T"
Hf 0.000 0.000 0.000
Al 1.594 1.594 1.594
Al 3.187 3.187 3.187
Tc 4.781 4.781 4.781
```